No. 1
VASP calculation (PBE) on crystalline TbPm2Nd6Y at its relaxed geometry.

```
data_TbPm2Nd6Y
_space_group_name_H-M_alt 'C 1 2/c 1'
_space_group_IT_number 15
_space_group_name_Hall '-C 2yc'
_cell_length_a 9.233
_cell_length_b 15.462
_cell_length_c 9.866
_cell_angle_alpha 90.00
_cell_angle_beta 98.54
_cell_angle_gamma 90.00
loop_
_atom_site_label
_atom_site_fract_x
_atom_site_fract_y
_atom_site_fract_z
_atom_site_occupancy
Tb1 0.000 0.022 0.250 1
Pm1 0.246 0.050 0.543 1
Nd1 0.063 0.183 0.945 1
Nd2 0.103 0.395 0.120 1
Nd3 0.206 0.223 0.313 1
Y1 0.000 0.408 0.750 1
```

Summary:
- Formation enthalpy at 0 K: 0.111 eV/atom
- ρ: 6.7 g cm⁻³

---

No. 2
VASP calculation (PBE) on crystalline YMo2 at its relaxed geometry.

```
data_YMo2
_space_group_name_H-M_alt 'I 41/a m d'
_space_group_IT_number 141
_cell_length_a 4.127
_cell_length_b 4.127
_cell_length_c 15.523
_cell_angle_alpha 90.00
_cell_angle_beta 90.00
_cell_angle_gamma 90.00
loop_
_space_group_symop_operation_xyz
'x,y,z'
'-x,-y,-z'
'-y+1/4,x+3/4,z+1/4'
'y+1/4,-x+3/4,-z+1/4'
'-x+1/2,-y,z+1/2'
'x+1/2,y,-z+1/2'
'y+1/4,-x+1/4,z+3/4'
'-y+1/4,x+1/4,-z+3/4'
'x,-y,-z'
'-x,y,z'
'-y+1/4,-x+1/4,-z+3/4'
'y+1/4,x+1/4,z+3/4'
'-x+1/2,y,-z+1/2'
'x+1/2,-y,z+1/2'
'y+1/4,x+3/4,-z+1/4'
'-y+1/4,-x+3/4,z+1/4'
'x+1/2,y+1/2,z+1/2'
'-x+1/2,-y+1/2,-z+1/2'
'-y+3/4,x+1/4,z+3/4'
'y+3/4,-x+1/4,-z+3/4'
'-x,-y+1/2,z'
'x,y+1/2,-z'
'y+3/4,-x+3/4,z+1/4'
'-y+3/4,x+3/4,-z+1/4'
'x+1/2,-y+1/2,-z+1/2'
'-x+1/2,y+1/2,z+1/2'
'-y+3/4,-x+3/4,-z+1/4'
'y+3/4,x+3/4,z+1/4'
'-x,y+1/2,-z'
'x,-y+1/2,z'
'y+3/4,x+1/4,-z+3/4'
'-y+3/4,-x+1/4,z+3/4'
loop_
_atom_site_label
_atom_site_fract_x
_atom_site_fract_y
_atom_site_fract_z
_atom_site_occupancy
Y1 0.000 0.250 0.375 1
Mo1 0.000 0.250 0.795 1
```

Summary:
- Formation enthalpy at 0 K: 0.606 eV/atom
- ρ: 7.1 g cm⁻³

---

Q: Which formula does entry 2 have?
A: YMo2